Record 1
Rb3As2Br9 | PBE | optimized geometry

* formation energy (no corrections): -1.04 eV/atom
* density: 3.76 g cm⁻³

Cell and atoms, written as CIF:
```
data_Rb3As2Br9
_cell_length_a 7.6924
_cell_length_b 7.6924
_cell_length_c 19.3733
_cell_angle_alpha 90.00
_cell_angle_beta 90.00
_cell_angle_gamma 120.00
_symmetry_space_group_name_H-M 'P 63/m m c'
_symmetry_Int_Tables_number 194
_symmetry_space_group_name_Hall '-P 6c 2c'
loop_
_atom_site_label
_atom_site_fract_x
_atom_site_fract_y
_atom_site_fract_z
Rb1 0.0000 0.0000 0.2500
Rb2 0.3333 0.6667 0.0806
As1 0.3333 0.6667 0.6559
Br1 0.0021 0.5011 0.7500
Br2 0.1728 0.3455 0.5853
```


Record 2
RbAsBr3 | PBE | optimized geometry

* excess energy over the best structure of this formula in the dataset: 2.3 meV/atom
* formation energy (no corrections): -0.89 eV/atom
* density: 3.21 g cm⁻³

Cell and atoms, written as CIF:
```
data_RbAsBr3
_cell_length_a 9.039
_cell_length_b 8.962
_cell_length_c 10.640
_cell_angle_alpha 90.00
_cell_angle_beta 106.06
_cell_angle_gamma 90.00
_symmetry_space_group_name_H-M 'P 1 21/c 1'
_symmetry_Int_Tables_number 14
loop_
_symmetry_equiv_pos_as_xyz
'x,y,z'
'-x,-y,-z'
'-x,y+1/2,-z+1/2'
'x,-y+1/2,z+1/2'
loop_
_atom_site_label
_atom_site_fract_x
_atom_site_fract_y
_atom_site_fract_z
Rb1 0.129 0.003 0.221
As1 0.497 0.145 0.973
Br1 0.198 0.200 0.943
Br2 0.203 0.713 0.462
Br3 0.471 0.084 0.746
```


Record 3
Rb12As3Br5 | PBE | optimized geometry

* formation energy (no corrections): -0.91 eV/atom
* density: 2.64 g cm⁻³

Cell and atoms, written as CIF:
```
data_Rb12As3Br5
_cell_length_a 20.248
_cell_length_b 20.248
_cell_length_c 20.248
_cell_angle_alpha 90.00
_cell_angle_beta 90.00
_cell_angle_gamma 90.00
_symmetry_space_group_name_H-M 'I a -3 d'
_symmetry_Int_Tables_number 230
_symmetry_space_group_name_Hall '-I 4bd 2c 3'
loop_
_atom_site_label
_atom_site_fract_x
_atom_site_fract_y
_atom_site_fract_z
Rb1 0.015 0.071 0.655
As1 0.000 0.250 0.125
Br1 0.000 0.000 0.000
Br2 0.000 0.250 0.375
```


Record 4
Rb2AsBr6 | PBE | optimized geometry

* formation energy (no corrections): -0.88 eV/atom
* density: 3.08 g cm⁻³

Cell and atoms, written as CIF:
```
data_Rb2AsBr6
_cell_length_a 7.375
_cell_length_b 7.375
_cell_length_c 14.377
_cell_angle_alpha 90.00
_cell_angle_beta 90.00
_cell_angle_gamma 90.00
_symmetry_space_group_name_H-M 'P 42/m n m'
_symmetry_Int_Tables_number 136
_symmetry_space_group_name_Hall '-P 4n 2n'
loop_
_atom_site_label
_atom_site_fract_x
_atom_site_fract_y
_atom_site_fract_z
Rb1 0.000 0.000 0.166
As1 0.000 0.000 0.500
Br1 0.173 0.173 0.371
Br2 0.248 0.752 0.500
```


Record 5
Rb2AsBr7 | PBE | optimized geometry

* formation energy (no corrections): -0.82 eV/atom
* density: 3.65 g cm⁻³

Cell and atoms, written as CIF:
```
data_Rb2AsBr7
_cell_length_a 7.791
_cell_length_b 7.791
_cell_length_c 12.081
_cell_angle_alpha 90.00
_cell_angle_beta 90.00
_cell_angle_gamma 90.00
_symmetry_space_group_name_H-M 'I 4/m m m'
_symmetry_Int_Tables_number 139
_symmetry_space_group_name_Hall '-I 4 2'
loop_
_atom_site_label
_atom_site_fract_x
_atom_site_fract_y
_atom_site_fract_z
Rb1 0.000 0.500 0.250
As1 0.000 0.000 0.000
Br1 0.000 0.000 0.216
Br2 0.000 0.000 0.500
Br3 0.234 0.234 0.000
```


Record 6
Rb2AsBr4 | PBE | optimized geometry

* excess energy over the best structure of this formula in the dataset: 12.0 meV/atom
* formation energy (no corrections): -1.07 eV/atom
* density: 3.54 g cm⁻³

Cell and atoms, written as CIF:
```
data_Rb2AsBr4
_cell_length_a 5.599
_cell_length_b 5.599
_cell_length_c 16.932
_cell_angle_alpha 90.00
_cell_angle_beta 90.00
_cell_angle_gamma 90.00
_symmetry_space_group_name_H-M 'I 4/m m m'
_symmetry_Int_Tables_number 139
_symmetry_space_group_name_Hall '-I 4 2'
loop_
_atom_site_label
_atom_site_fract_x
_atom_site_fract_y
_atom_site_fract_z
Rb1 0.000 0.000 0.135
As1 0.000 0.000 0.500
Br1 0.000 0.000 0.340
Br2 0.000 0.500 0.000
```


Record 7
Rb3AsBr8 | PBE | optimized geometry

* formation energy (no corrections): -0.76 eV/atom
* density: 3.43 g cm⁻³

Cell and atoms, written as CIF:
```
data_Rb3AsBr8
_cell_length_a 7.751
_cell_length_b 7.751
_cell_length_c 15.661
_cell_angle_alpha 90.00
_cell_angle_beta 90.00
_cell_angle_gamma 90.00
_symmetry_space_group_name_H-M 'I 4/m m m'
_symmetry_Int_Tables_number 139
_symmetry_space_group_name_Hall '-I 4 2'
loop_
_atom_site_label
_atom_site_fract_x
_atom_site_fract_y
_atom_site_fract_z
Rb1 0.000 0.000 0.000
Rb2 0.000 0.500 0.250
As1 0.000 0.000 0.500
Br1 0.215 0.215 0.392
```


Record 8
RbAsBr3 | PBE | optimized geometry

* excess energy over the best structure of this formula in the dataset: 51.8 meV/atom
* formation energy (no corrections): -0.84 eV/atom
* density: 4.01 g cm⁻³

Cell and atoms, written as CIF:
```
data_RbAsBr3
_cell_length_a 5.492
_cell_length_b 5.492
_cell_length_c 5.492
_cell_angle_alpha 90.00
_cell_angle_beta 90.00
_cell_angle_gamma 90.00
_symmetry_space_group_name_H-M 'P m -3 m'
_symmetry_Int_Tables_number 221
_symmetry_space_group_name_Hall '-P 4 2 3'
loop_
_atom_site_label
_atom_site_fract_x
_atom_site_fract_y
_atom_site_fract_z
Rb1 0.000 0.000 0.000
As1 0.500 0.500 0.500
Br1 0.000 0.500 0.500
```


Record 9
Rb3AsBr | PBE | optimized geometry

* excess energy over the best structure of this formula in the dataset: 0.0 meV/atom
* formation energy (no corrections): -0.61 eV/atom
* density: 2.39 g cm⁻³

Cell and atoms, written as CIF:
```
data_Rb3AsBr
_cell_length_a 6.585
_cell_length_b 6.585
_cell_length_c 6.585
_cell_angle_alpha 90.00
_cell_angle_beta 90.00
_cell_angle_gamma 90.00
_symmetry_space_group_name_H-M 'P m -3 m'
_symmetry_Int_Tables_number 221
_symmetry_space_group_name_Hall '-P 4 2 3'
loop_
_atom_site_label
_atom_site_fract_x
_atom_site_fract_y
_atom_site_fract_z
Rb1 0.000 0.000 0.500
As1 0.000 0.000 0.000
Br1 0.500 0.500 0.500
```


Record 10
Rb2As2Br | PBE | optimized geometry

* excess energy over the best structure of this formula in the dataset: 0.0 meV/atom
* formation energy (no corrections): -0.75 eV/atom
* density: 4.20 g cm⁻³

Cell and atoms, written as CIF:
```
data_Rb2As2Br
_cell_length_a 3.932
_cell_length_b 3.932
_cell_length_c 20.508
_cell_angle_alpha 90.00
_cell_angle_beta 90.00
_cell_angle_gamma 90.00
_symmetry_space_group_name_H-M 'I 4/m m m'
_symmetry_Int_Tables_number 139
_symmetry_space_group_name_Hall '-I 4 2'
loop_
_atom_site_label
_atom_site_fract_x
_atom_site_fract_y
_atom_site_fract_z
Rb1 0.000 0.000 0.103
As1 0.000 0.500 0.250
Br1 0.000 0.000 0.500
```


Record 11
Rb3As2Br8 | PBE | optimized geometry

* excess energy over the best structure of this formula in the dataset: 46.2 meV/atom
* formation energy (no corrections): -0.88 eV/atom
* density: 3.31 g cm⁻³

Cell and atoms, written as CIF:
```
data_Rb3As2Br8
_cell_length_a 7.6994
_cell_length_b 7.6994
_cell_length_c 30.6345
_cell_angle_alpha 90.00
_cell_angle_beta 90.00
_cell_angle_gamma 120.00
_symmetry_space_group_name_H-M 'R -3 m'
_symmetry_Int_Tables_number 166
_symmetry_space_group_name_Hall '-R 3 2"'
loop_
_atom_site_label
_atom_site_fract_x
_atom_site_fract_y
_atom_site_fract_z
Rb1 0.0000 0.0000 0.0000
Rb2 0.0000 0.0000 0.2050
As1 0.0000 0.0000 0.4007
Br1 0.0000 0.0000 0.3155
Br2 0.0180 0.5090 0.7707
```


Record 12
Rb3AsBr6 | PBE | optimized geometry

* excess energy over the best structure of this formula in the dataset: 46.4 meV/atom
* formation energy (no corrections): -1.18 eV/atom
* density: 3.28 g cm⁻³

Cell and atoms, written as CIF:
```
data_Rb3AsBr6
_cell_length_a 11.799
_cell_length_b 11.799
_cell_length_c 11.799
_cell_angle_alpha 90.00
_cell_angle_beta 90.00
_cell_angle_gamma 90.00
_symmetry_space_group_name_H-M 'F m -3 m'
_symmetry_Int_Tables_number 225
_symmetry_space_group_name_Hall '-F 4 2 3'
loop_
_atom_site_label
_atom_site_fract_x
_atom_site_fract_y
_atom_site_fract_z
Rb1 0.000 0.000 0.000
Rb2 0.250 0.250 0.250
As1 0.000 0.000 0.500
Br1 0.000 0.000 0.274
```


Record 13
Rb5As2Br | PBE | optimized geometry

* formation energy (no corrections): -0.65 eV/atom
* density: 3.28 g cm⁻³

Cell and atoms, written as CIF:
```
data_Rb5As2Br
_cell_length_a 9.078
_cell_length_b 9.078
_cell_length_c 16.139
_cell_angle_alpha 90.00
_cell_angle_beta 90.00
_cell_angle_gamma 90.00
_symmetry_space_group_name_H-M 'I 4/m c m'
_symmetry_Int_Tables_number 140
_symmetry_space_group_name_Hall '-I 4 2c'
loop_
_atom_site_label
_atom_site_fract_x
_atom_site_fract_y
_atom_site_fract_z
Rb1 0.000 0.000 0.000
Rb2 0.181 0.319 0.135
As1 0.102 0.398 0.500
Br1 0.000 0.000 0.250
```


Record 14
Rb2AsBr5 | PBE | optimized geometry

* formation energy (no corrections): -1.11 eV/atom
* density: 3.43 g cm⁻³

Cell and atoms, written as CIF:
```
data_Rb2AsBr5
_cell_length_a 8.074
_cell_length_b 8.074
_cell_length_c 9.599
_cell_angle_alpha 90.00
_cell_angle_beta 90.00
_cell_angle_gamma 90.00
_symmetry_space_group_name_H-M 'I 4 m m'
_symmetry_Int_Tables_number 107
_symmetry_space_group_name_Hall 'I 4 -2'
loop_
_atom_site_label
_atom_site_fract_x
_atom_site_fract_y
_atom_site_fract_z
Rb1 0.000 0.500 0.000
As1 0.000 0.000 0.267
Br1 0.000 0.000 0.516
Br2 0.234 0.234 0.248
```


Record 15
RbAs3Br | PBE | optimized geometry

* excess energy over the best structure of this formula in the dataset: 734.7 meV/atom
* formation energy (no corrections): 1.47 eV/atom
* density: 1.88 g cm⁻³

Cell and atoms, written as CIF:
```
data_RbAs3Br
_cell_length_a 7.013
_cell_length_b 7.013
_cell_length_c 7.013
_cell_angle_alpha 90.00
_cell_angle_beta 90.00
_cell_angle_gamma 90.00
_symmetry_space_group_name_H-M 'P m -3 m'
_symmetry_Int_Tables_number 221
_symmetry_space_group_name_Hall '-P 4 2 3'
loop_
_atom_site_label
_atom_site_fract_x
_atom_site_fract_y
_atom_site_fract_z
Rb1 0.000 0.000 0.000
As1 0.000 0.000 0.500
Br1 0.500 0.500 0.500
```


Record 16
Rb2AsRhBr6 | PBE | optimized geometry

* formation energy (no corrections): -0.81 eV/atom
* density: 4.51 g cm⁻³

Cell and atoms, written as CIF:
```
data_Rb2AsRhBr6
_cell_length_a 7.546
_cell_length_b 7.546
_cell_length_c 10.701
_cell_angle_alpha 90.00
_cell_angle_beta 90.00
_cell_angle_gamma 90.00
_symmetry_space_group_name_H-M 'I 4/m m m'
_symmetry_Int_Tables_number 139
_symmetry_space_group_name_Hall '-I 4 2'
loop_
_atom_site_label
_atom_site_fract_x
_atom_site_fract_y
_atom_site_fract_z
Rb1 0.000 0.500 0.250
As1 0.000 0.000 0.000
Rh1 0.000 0.000 0.500
Br1 0.000 0.000 0.256
Br2 0.244 0.244 0.500
```


Record 17
RbAsRuBr2 | PBE | optimized geometry

* excess energy over the best structure of this formula in the dataset: 1742.0 meV/atom
* formation energy (no corrections): 1.36 eV/atom
* density: 3.23 g cm⁻³

Cell and atoms, written as CIF:
```
data_RbAsRuBr2
_cell_length_a 6.072
_cell_length_b 6.072
_cell_length_c 5.875
_cell_angle_alpha 90.00
_cell_angle_beta 90.00
_cell_angle_gamma 90.00
_symmetry_space_group_name_H-M 'P 4/m m m'
_symmetry_Int_Tables_number 123
_symmetry_space_group_name_Hall '-P 4 2'
loop_
_atom_site_label
_atom_site_fract_x
_atom_site_fract_y
_atom_site_fract_z
Rb1 0.000 0.000 0.000
As1 0.000 0.000 0.500
Ru1 0.500 0.500 0.500
Br1 0.000 0.500 0.000
```


Record 18
Rb2AsRuBr6 | PBE | optimized geometry

* formation energy (no corrections): -0.69 eV/atom
* density: 4.41 g cm⁻³

Cell and atoms, written as CIF:
```
data_Rb2AsRuBr6
_cell_length_a 10.757
_cell_length_b 10.757
_cell_length_c 10.757
_cell_angle_alpha 90.00
_cell_angle_beta 90.00
_cell_angle_gamma 90.00
_symmetry_space_group_name_H-M 'F m -3 m'
_symmetry_Int_Tables_number 225
_symmetry_space_group_name_Hall '-F 4 2 3'
loop_
_atom_site_label
_atom_site_fract_x
_atom_site_fract_y
_atom_site_fract_z
Rb1 0.250 0.250 0.250
As1 0.000 0.000 0.000
Ru1 0.000 0.000 0.500
Br1 0.000 0.000 0.258
```


Record 19
RbAsRuBr2 | PBE | optimized geometry

* excess energy over the best structure of this formula in the dataset: 0.0 meV/atom
* formation energy (no corrections): -0.38 eV/atom
* density: 4.99 g cm⁻³

Cell and atoms, written as CIF:
```
data_RbAsRuBr2
_cell_length_a 5.497
_cell_length_b 5.497
_cell_length_c 4.644
_cell_angle_alpha 90.00
_cell_angle_beta 90.00
_cell_angle_gamma 90.00
_symmetry_space_group_name_H-M 'P 4/m m m'
_symmetry_Int_Tables_number 123
_symmetry_space_group_name_Hall '-P 4 2'
loop_
_atom_site_label
_atom_site_fract_x
_atom_site_fract_y
_atom_site_fract_z
Rb1 0.000 0.000 0.000
As1 0.500 0.500 0.000
Ru1 0.500 0.500 0.500
Br1 0.000 0.500 0.500
```